Entry 1:
The following is a PBE calculation of crystalline LiTmNiPt at its relaxed geometry, from Alexandria via LeMat-Bulk.

```
LiTmNiPt
1.0
0.000 3.214 3.214
3.214 0.000 3.214
3.214 3.214 0.000
Li Tm Ni Pt
1 1 1 1
Direct
0.000 0.000 0.000
0.500 0.500 0.500
0.750 0.750 0.750
0.250 0.250 0.250
```

Values from the calculation:
The energy of formation comes out at -598 meV/atom.

=====

Entry 2:
The following is a PBE calculation of crystalline LiUNiPt at its relaxed geometry, from Alexandria via LeMat-Bulk.

```
LiUNiPt
1.0
0.000 3.254 3.254
3.254 0.000 3.254
3.254 3.254 0.000
Li U Ni Pt
1 1 1 1
Direct
0.000 0.000 0.000
0.500 0.500 0.500
0.250 0.250 0.250
0.750 0.750 0.750
```

Values from the calculation:
The energy of formation comes out at -261 meV/atom.

=====

Entry 3:
The following is a PBE calculation of crystalline LiZrNi2Pt at its relaxed geometry, from Alexandria via LeMat-Bulk.

```
LiZrNi2Pt
1.0
4.678 0.000 0.000
0.000 4.678 0.000
0.000 0.000 5.016
Li Zr Ni Pt
1 1 2 1
Direct
0.000 0.000 0.000
0.500 0.500 0.500
0.000 0.500 0.500
0.500 0.000 0.500
0.500 0.500 0.000
```

Values from the calculation:
The energy of formation comes out at 742 meV/atom.

=====

Entry 4:
The following is a PBE calculation of crystalline LiZrNiPt at its relaxed geometry, from Alexandria via LeMat-Bulk.

```
LiZrNiPt
1.0
0.000 3.147 3.147
3.147 0.000 3.147
3.147 3.147 0.000
Li Zr Ni Pt
1 1 1 1
Direct
0.000 0.000 0.000
0.500 0.500 0.500
0.750 0.750 0.750
0.250 0.250 0.250
```

Values from the calculation:
The energy of formation comes out at -565 meV/atom.

=====

Entry 5:
The following is a PBE calculation of crystalline LiPuNi10 at its relaxed geometry, from Alexandria via LeMat-Bulk.

```
LiPuNi10
1.0
3.971 0.000 0.000
0.000 4.790 0.000
0.000 0.000 8.297
Li Pu Ni
1 1 10
Direct
0.000 0.000 0.000
0.000 0.500 0.500
0.000 0.000 0.322
0.000 0.000 0.678
0.000 0.500 0.160
0.000 0.500 0.840
0.500 0.000 0.500
0.500 0.252 0.249
0.500 0.252 0.751
0.500 0.500 0.000
0.500 0.748 0.249
0.500 0.748 0.751
```

Values from the calculation:
The energy of formation comes out at -36 meV/atom.

=====

Entry 6:
The following is a PBE calculation of crystalline LiPuNi at its relaxed geometry, from Alexandria via LeMat-Bulk.

```
LiPuNi
1.0
-1.564 1.564 5.445
1.564 -1.564 5.445
1.564 1.564 -5.445
Li Pu Ni
1 1 1
Direct
0.000 0.000 0.000
0.720 0.720 0.000
0.379 0.379 0.000
```

Values from the calculation:
The energy of formation comes out at 124 meV/atom.

=====

Which value of energy of formation does entry 5 give? -36 meV/atom